Below is an optimized crystal structure of Rb2BaSbH, with properties calculated at the GGA-PBE level.

## Properties
The raw total energy comes out at -2.736 eV per atom. As for the magnetization: 0.0000 μB per atom.

abc: 5.404 5.404 5.944
angles: 90.00 90.00 90.00
Fractional positions:
1 Sb 0.500 0.500 0.500
2 Ba 0.000 0.000 0.500
3 Rb 0.000 0.500 0.000
4 Rb 0.500 0.000 0.000
5 H 0.000 0.000 0.000